Entry from Alexandria: crystalline IrPtI6 at its relaxed geometry (PBE-GGA).

Cell lengths 7.027, 7.027, 7.327 Å; angles 103.04, 103.04, 117.34 degrees
Fractional coordinates of all 8 atoms:
Ir1 0.000 0.000 0.000
Pt1 0.500 0.500 0.500
I1 0.593 0.894 0.745
I2 0.894 0.593 0.745
I3 0.106 0.407 0.255
I4 0.407 0.106 0.255
I5 0.217 0.217 0.781
I6 0.783 0.783 0.219

Raw formation energy ... -0.05 eV per atom
SG ... No. 12
Density ... 6.59 g/cm³

---

Entry from Alexandria: crystalline IrPt3I at its relaxed geometry (PBE-GGA).

Cell lengths 4.903, 4.903, 4.903 Å; angles 90.00, 90.00, 90.00 degrees
Fractional coordinates of all 5 atoms:
I1 0.500 0.500 0.500
Ir1 0.000 0.000 0.000
Pt1 0.000 0.500 0.000
Pt2 0.000 0.000 0.500
Pt3 0.500 0.000 0.000

Raw formation energy ... 1.26 eV per atom
Polymorph energy (0 for the lowest one) ... 0 meV per atom
SG ... No. 221
Density ... 12.74 g/cm³

---

Entry from Alexandria: crystalline Ir2PtI at its relaxed geometry (PBE-GGA).

Cell lengths 4.593, 4.593, 4.593 Å; angles 60.00, 60.00, 60.00 degrees
Fractional coordinates of all 4 atoms:
I1 0.000 0.000 0.000
Ir1 0.250 0.250 0.250
Ir2 0.750 0.750 0.750
Pt1 0.500 0.500 0.500

Raw formation energy ... 0.95 eV per atom
Polymorph energy (0 for the lowest one) ... 0 meV per atom
SG ... No. 225
Density ... 17.12 g/cm³